Record 1
The following is a GGA-PBE calculation of a relaxed Li2SiPt crystal, from Alexandria.

abc: 5.6603 5.6603 5.6603
angles: 99.90 99.90 131.00
Closest atoms and distances in Å follow each position.
Fractional coordinates of all 8 atoms:
Li 0.1095 0.6250 0.9845  2 Li 2.36, 2 Pt 2.56
Li 0.3750 0.3595 0.4845  2 Li 2.36, 2 Pt 2.56
Li 0.6405 0.1250 0.0155  2 Li 2.36, 2 Pt 2.56
Li 0.8750 0.8905 0.5155  2 Li 2.36, 2 Pt 2.56
Si 0.2500 0.7500 0.5000  2 Pt 2.35
Si 0.5000 0.5000 0.0000  2 Pt 2.35
Pt 0.0000 0.0000 0.0000  2 Si 2.35, 4 Li 2.56
Pt 0.7500 0.2500 0.5000  2 Si 2.35, 4 Li 2.56

Calculated values
VASP energy = -16.264 eV/f.u.
Space-group type = I-42d
Magnetization = 0.00 μB per formula unit
Formation energy without anion corrections = -0.24 eV/atom


Record 2
The following is a GGA-PBE calculation of a relaxed TbDyPuHg crystal, from Alexandria.

abc: 5.3674 5.3674 5.3674
angles: 60.00 60.00 60.00
Closest atoms and distances in Å follow each position.
Fractional coordinates of all 4 atoms:
Tb 0.0000 0.0000 0.0000  4 Hg 3.29, 4 Pu 3.29
Dy 0.5000 0.5000 0.5000  4 Hg 3.29, 4 Pu 3.29
Pu 0.2500 0.2500 0.2500  4 Tb 3.29, 4 Dy 3.29
Hg 0.7500 0.7500 0.7500  4 Tb 3.29, 4 Dy 3.29

Calculated values
VASP energy = -23.764 eV/f.u.
Space-group type = F-43m
E_form = 0.6 kcal/mol of atoms
Magnetization = 6.84 μB per formula unit


Record 3
The following is a GGA-PBE calculation of a relaxed SrTaTe2N crystal, from Alexandria.

abc: 5.6851 5.6851 3.9897
angles: 90.00 90.00 90.00
Closest atoms and distances in Å follow each position.
Fractional coordinates of all 5 atoms:
Sr 0.0000 0.0000 0.0000  8 Te 3.47
Ta 0.5000 0.5000 0.5000  2 N 1.99
Te 0.0000 0.5000 0.5000  2 Ta 2.84
Te 0.5000 0.0000 0.5000  2 Ta 2.84
N 0.5000 0.5000 0.0000  2 Ta 1.99

Calculated values
VASP energy = -31.329 eV/f.u.
Space-group type = P4/mmm
Magnetization = 0.00 μB per formula unit
Formation energy without anion corrections = -0.64 eV/atom


Record 4
The following is a GGA-PBE calculation of a relaxed LaDyGaRh crystal, from Alexandria.

abc: 5.0935 5.0935 5.0935
angles: 60.00 60.00 60.00
Closest atoms and distances in Å follow each position.
Fractional coordinates of all 4 atoms:
La 0.0000 0.0000 0.0000  4 Rh 3.12, 4 Ga 3.12
Dy 0.5000 0.5000 0.5000  4 Rh 3.12, 4 Ga 3.12
Ga 0.2500 0.2500 0.2500  4 La 3.12, 4 Dy 3.12
Rh 0.7500 0.7500 0.7500  4 La 3.12, 4 Dy 3.12

Calculated values
VASP energy = -22.260 eV/f.u.
Space-group type = F-43m
E_form = -13.6 kcal/mol of atoms
Magnetization = 0.00 μB per formula unit